# 1
Compound: InRe2W
Source: Alexandria
Functional: PBE-GGA
Structure: relaxed

Cell and atoms, written as POSCAR:
```
InRe2W
1.0
-1.820 2.522 -2.666
-1.988 0.645 1.967
1.294 4.929 3.778
Re In W
2 1 1
Cartesian
-1.154 2.660 0.157 Re
-1.882 0.774 2.017 Re
-1.414 5.447 2.970 In
-0.400 2.646 2.776 W
```

Results
Total energy (Ha/atom): -0.3574
Total magnetization (Bohr magnetons per cell): 0.0
Crystal system: monoclinic
Density (g/cm3): 16.65

# 2
Compound: ScCoGe
Source: Alexandria
Functional: PBE-GGA
Structure: relaxed

Cell and atoms, written as POSCAR:
```
ScCoGe
1.0
-2.490 -0.171 1.986
-0.141 -4.091 -0.528
2.301 1.613 3.024
Ge Sc Co
1 1 1
Cartesian
1.072 -0.317 2.171 Ge
-0.987 -2.304 1.980 Sc
-0.415 -0.028 0.331 Co
```

Results
Total energy (Ha/atom): -0.2433
Total magnetization (Bohr magnetons per cell): 0.6
Crystal system: hexagonal
Density (g/cm3): 6.23

# 3
Compound: Y2HgBr
Source: Alexandria
Functional: PBE-GGA
Structure: relaxed

Cell and atoms, written as POSCAR:
```
Y2HgBr
1.0
-4.424 -0.033 -4.092
-2.768 -4.414 3.028
-7.456 3.030 3.597
Y Br Hg
4 2 2
Cartesian
-11.881 -1.613 1.763 Y
-8.292 0.599 2.303 Y
-4.153 -2.005 2.275 Y
-4.969 0.185 -1.275 Y
-6.910 -1.804 3.046 Br
-3.596 -2.224 -0.532 Br
0.000 0.000 0.000 Hg
-7.737 0.386 -0.514 Hg
```

Results
Energy above the lowest structure with this stoichiometry (meV per atom): 430
Total energy (Ha/atom): -0.1478
Total magnetization (Bohr magnetons per cell): 0.0
Crystal system: tetragonal
Density (g/cm3): 5.43
Raw formation energy (eV per atom): -0.295

# 4
Compound: HfBeCr2Ni
Source: Alexandria
Functional: PBE-GGA
Structure: relaxed

Cell and atoms, written as POSCAR:
```
HfBeCr2Ni
1.0
-3.925 1.608 -1.818
0.404 -2.976 -3.504
-2.356 -3.089 2.353
Cr Be Ni Hf
2 1 1 1
Cartesian
0.202 -1.488 -1.752 Cr
-1.962 0.804 -0.909 Cr
-1.178 -1.545 1.176 Be
-2.938 -2.229 -1.484 Ni
0.000 0.000 0.000 Hf
```

Results
Total energy (Ha/atom): -0.2109
Total magnetization (Bohr magnetons per cell): 5.4
Crystal system: tetragonal
Density (g/cm3): 6.01

# 5
Compound: GaPRu2
Source: Alexandria
Functional: PBE-GGA
Structure: relaxed

Cell and atoms, written as POSCAR:
```
GaPRu2
1.0
2.955 0.000 0.000
0.000 2.955 0.000
0.000 0.000 6.065
Ru P Ga
2 1 1
Cartesian
0.000 0.000 1.411 Ru
0.000 0.000 4.654 Ru
1.477 1.477 0.000 P
1.477 1.477 3.033 Ga
```

Results
Energy above the lowest structure with this stoichiometry (meV per atom): 0
Total energy (Ha/atom): -0.2621
Total magnetization (Bohr magnetons per cell): 0.0
Crystal system: tetragonal
Density (g/cm3): 9.50

# 6
Compound: KZr2Cd
Source: Alexandria
Functional: PBE-GGA
Structure: relaxed

Cell and atoms, written as POSCAR:
```
KZr2Cd
1.0
-2.120 -0.732 2.210
1.144 -5.309 -0.660
4.334 0.401 4.291
Zr K Cd
2 1 1
Cartesian
0.000 0.000 0.000 Zr
-0.488 -3.020 0.775 Zr
2.739 -2.454 1.815 K
1.107 -0.165 3.250 Cd
```

Results
Total energy (Ha/atom): -0.1552
Total magnetization (Bohr magnetons per cell): 0.0
Crystal system: orthorhombic
Density (g/cm3): 5.27

# 7
Compound: Zn2FeOs
Source: Alexandria
Functional: PBE-GGA
Structure: relaxed

Cell and atoms, written as POSCAR:
```
Zn2FeOs
1.0
3.119 0.000 0.000
0.000 4.155 0.000
0.000 0.000 4.178
Os Zn Fe
1 2 1
Cartesian
0.000 2.077 2.089 Os
0.000 0.000 0.000 Zn
1.560 2.077 0.000 Zn
1.560 0.000 2.089 Fe
```

Results
Energy above the lowest structure with this stoichiometry (meV per atom): 85
Total energy (Ha/atom): -0.1990
Total magnetization (Bohr magnetons per cell): 2.9
Crystal system: orthorhombic
Density (g/cm3): 11.56

# 8
Compound: Ce3HoGe4
Source: Alexandria
Functional: PBE-GGA
Structure: relaxed

Cell and atoms, written as POSCAR:
```
Ce3HoGe4
1.0
4.091 0.000 0.000
0.000 6.424 -0.744
-2.045 -2.298 8.267
Ge Ce Ho
4 3 1
Cartesian
2.045 4.702 1.536 Ge
0.000 -0.576 5.987 Ge
2.045 2.198 1.826 Ge
0.000 1.928 5.698 Ge
0.000 0.358 3.091 Ce
2.045 3.768 4.432 Ce
0.000 3.212 -0.372 Ce
2.045 0.000 0.000 Ho
```

Results
Total energy (Ha/atom): -0.2105
Total magnetization (Bohr magnetons per cell): 1.5
Crystal system: orthorhombic
Density (g/cm3): 6.92

# 9
Compound: LiTbPd4Pb2
Source: Alexandria
Functional: PBE-GGA
Structure: relaxed

Cell and atoms, written as POSCAR:
```
LiTbPd4Pb2
1.0
-1.839 2.367 -3.681
1.117 -1.270 -4.436
-6.297 -4.531 -2.829
Tb Pb Pd Li
1 2 4 1
Cartesian
0.000 0.000 0.000 Tb
-1.833 -0.921 -2.738 Pb
-5.186 -2.512 -8.209 Pb
-4.026 -2.694 -2.783 Pd
-1.344 0.034 -5.429 Pd
-2.993 -0.739 -8.164 Pd
-5.674 -3.467 -5.518 Pd
-3.509 -1.717 -5.473 Li
```

Results
Total energy (Ha/atom): -0.1792
Total magnetization (Bohr magnetons per cell): 0.0
Crystal system: trigonal
Density (g/cm3): 10.99

# 10
Compound: TbNd2In9
Source: Alexandria
Functional: PBE-GGA
Structure: relaxed

Cell and atoms, written as POSCAR:
```
TbNd2In9
1.0
-1.061 -1.100 4.439
-2.867 -3.390 -1.525
10.682 -9.163 0.282
Tb In Nd
1 9 2
Cartesian
0.000 0.000 0.000 Tb
3.907 -6.276 -0.622 In
4.810 -5.131 2.361 In
-1.964 -2.245 1.457 In
0.313 -3.193 -0.717 In
8.405 -8.215 2.456 In
5.163 -8.359 1.645 In
1.590 -5.294 1.551 In
7.502 -9.359 -0.526 In
1.216 -2.048 2.266 In
7.137 -6.122 0.189 Nd
3.544 -3.040 0.094 Nd
```

Results
Total energy (Ha/atom): -0.1356
Total magnetization (Bohr magnetons per cell): 0.0
Crystal system: tetragonal
Density (g/cm3): 7.93